# Cr2CdRh, optimized geometry, DFT PBE
# - symmetry = F-43m, No. 216
# - total moment (μB/f.u.) = 0.6
# - DOS at the Fermi energy (states/eV/cell) = 5.376
# - ΔE_f (kJ/mol of formula units) = 89.6
data_Cr2CdRh
_chemical_formula_sum 'Cr2 Cd1 Rh1'
_cell_length_a 4.451
_cell_length_b 4.451
_cell_length_c 4.451
_cell_angle_alpha 60.00
_cell_angle_beta 60.00
_cell_angle_gamma 60.00
_symmetry_space_group_name_H-M 'P 1'
_symmetry_Int_Tables_number 1
loop_
_symmetry_equiv_pos_as_xyz
'x,y,z'
loop_
_atom_site_label
_atom_site_type_symbol
_atom_site_fract_x
_atom_site_fract_y
_atom_site_fract_z
Cr1 Cr 0.000 0.000 0.000
Cr2 Cr 0.250 0.250 0.250
Cd1 Cd 0.500 0.500 0.500
Rh1 Rh 0.750 0.750 0.750